Entry 1:
La2PrIn3Hg6: relaxed, PBE.

Output
* Fermi-level density of states: 0.81 states/eV/atom
* M_tot: 0.000 Bohr magnetons per cell
* energy relative to the elements: -0.12 eV per atom
* space group: P4/mmm, No. 123
* calculated total energy: -2.18 eV/atom

a b c (Å): 4.3559 4.3559 20.6005
angles (deg): 90.00 90.00 90.00
Positions (direct):
La  0.0000  0.0000  0.2153
La  0.0000  0.0000  0.7847
Pr  0.0000  0.0000  0.5000
In  0.5000  0.5000  0.0000
In  0.5000  0.5000  0.2800
In  0.5000  0.5000  0.7200
Hg  0.0000  0.5000  0.3836
Hg  0.0000  0.5000  0.6164
Hg  0.5000  0.0000  0.3836
Hg  0.5000  0.0000  0.6164
Hg  0.5000  0.5000  0.1357
Hg  0.5000  0.5000  0.8643

Entry 2:
LaPr2In3Hg6: relaxed, PBE.

Output
* Fermi-level density of states: 0.80 states/eV/atom
* M_tot: 0.000 Bohr magnetons per cell
* energy relative to the elements: -0.11 eV per atom
* space group: P4/mmm, No. 123
* calculated total energy: -2.15 eV/atom

a b c (Å): 4.3267 4.3267 20.7109
angles (deg): 90.00 90.00 90.00
Positions (direct):
La  0.0000  0.0000  0.0000
Pr  0.0000  0.0000  0.2866
Pr  0.0000  0.0000  0.7134
In  0.5000  0.5000  0.2238
In  0.5000  0.5000  0.5000
In  0.5000  0.5000  0.7762
Hg  0.0000  0.5000  0.1190
Hg  0.0000  0.5000  0.8810
Hg  0.5000  0.0000  0.1190
Hg  0.5000  0.0000  0.8810
Hg  0.5000  0.5000  0.3654
Hg  0.5000  0.5000  0.6346

Entry 3:
LaIn2HgPt: relaxed, PBE.

Output
* Fermi-level density of states: 0.75 states/eV/atom
* M_tot: 0.000 Bohr magnetons per cell
* energy relative to the elements: -0.44 eV per atom
* space group: P4/mmm, No. 123
* calculated total energy: -3.79 eV/atom

a b c (Å): 5.2101 5.2101 5.5421
angles (deg): 90.00 90.00 90.00
Positions (direct):
La  0.0000  0.0000  0.0000
In  0.0000  0.5000  0.5000
In  0.5000  0.0000  0.5000
Hg  0.5000  0.5000  0.0000
Pt  0.0000  0.0000  0.5000

Entry 4:
La5In2HgRh2: relaxed, PBE.

Output
* Fermi-level density of states: 0.73 states/eV/atom
* M_tot: 0.000 Bohr magnetons per cell
* energy relative to the elements: -0.58 eV per atom
* space group: P4/mbm, No. 127
* calculated total energy: -5.09 eV/atom

a b c (Å): 12.1915 12.1915 3.8967
angles (deg): 90.00 90.00 90.00
Positions (direct):
La  0.0000  0.5000  0.0000
La  0.0709  0.2079  0.0000
La  0.2079  0.9291  0.0000
La  0.2921  0.4291  0.0000
La  0.4291  0.7079  0.0000
La  0.5000  0.0000  0.0000
La  0.5709  0.2921  0.0000
La  0.7079  0.5709  0.0000
La  0.7921  0.0709  0.0000
La  0.9291  0.7921  0.0000
In  0.1799  0.6799  0.5000
In  0.3201  0.1799  0.5000
In  0.6799  0.8201  0.5000
In  0.8201  0.3201  0.5000
Hg  0.0000  0.0000  0.5000
Hg  0.5000  0.5000  0.5000
Rh  0.1351  0.3649  0.5000
Rh  0.3649  0.8649  0.5000
Rh  0.6351  0.1351  0.5000
Rh  0.8649  0.6351  0.5000

Entry 5:
La2In2HgRh5: relaxed, PBE.

Output
* Fermi-level density of states: 0.57 states/eV/atom
* M_tot: 0.000 Bohr magnetons per cell
* energy relative to the elements: -0.35 eV per atom
* space group: P4/mbm, No. 127
* calculated total energy: -5.59 eV/atom

a b c (Å): 10.4158 10.4158 3.7369
angles (deg): 90.00 90.00 90.00
Positions (direct):
La  0.1710  0.3290  0.0000
La  0.3290  0.8290  0.0000
La  0.6710  0.1710  0.0000
La  0.8290  0.6710  0.0000
In  0.1280  0.6280  0.0000
In  0.3720  0.1280  0.0000
In  0.6280  0.8720  0.0000
In  0.8720  0.3720  0.0000
Hg  0.0000  0.0000  0.0000
Hg  0.5000  0.5000  0.0000
Rh  0.0000  0.5000  0.5000
Rh  0.0405  0.7939  0.5000
Rh  0.2061  0.0405  0.5000
Rh  0.2939  0.5405  0.5000
Rh  0.4595  0.2939  0.5000
Rh  0.5000  0.0000  0.5000
Rh  0.5405  0.7061  0.5000
Rh  0.7061  0.4595  0.5000
Rh  0.7939  0.9595  0.5000
Rh  0.9595  0.2061  0.5000

Entry 6:
LaIn2HgRh: relaxed, PBE.

Output
* Fermi-level density of states: 0.54 states/eV/atom
* M_tot: 0.000 Bohr magnetons per cell
* energy relative to the elements: -0.45 eV per atom
* space group: P4/mmm, No. 123
* calculated total energy: -4.06 eV/atom

a b c (Å): 5.2139 5.2139 5.2995
angles (deg): 90.00 90.00 90.00
Positions (direct):
La  0.0000  0.0000  0.0000
In  0.0000  0.5000  0.5000
In  0.5000  0.0000  0.5000
Hg  0.5000  0.5000  0.0000
Rh  0.0000  0.0000  0.5000